# Ta2Te3Se

Ta2Te3Se after structural relaxation (GGA-PBE, Alexandria via LeMat-Bulk).

abc: 3.634 3.634 29.318
angles: 90.00 90.00 120.00
Fractional positions:
Ta 0.000 0.000 0.000
Ta 0.000 0.000 0.492
Ta 0.667 0.333 0.245
Ta 0.667 0.333 0.747
Te 0.000 0.000 0.683
Te 0.000 0.000 0.810
Te 0.667 0.333 0.064
Te 0.667 0.333 0.428
Te 0.667 0.333 0.555
Te 0.667 0.333 0.936
Se 0.000 0.000 0.189
Se 0.000 0.000 0.300

## Properties
Space-group type: P3m1
Energy relative to the elements, uncorrected: -0.434 eV/atom
Electronic total energy: -6.54 eV/atom
N(E_F): 5.71 states/eV/f.u.

=====

# Ta4Te2Se3

Ta4Te2Se3 after structural relaxation (GGA-PBE, Alexandria via LeMat-Bulk).

abc: 9.748 9.748 5.822
angles: 94.68 94.68 115.50
Fractional positions:
Ta 0.060 0.147 0.128
Ta 0.147 0.060 0.628
Ta 0.339 0.347 0.467
Ta 0.347 0.339 0.967
Ta 0.653 0.661 0.033
Ta 0.661 0.653 0.533
Ta 0.853 0.940 0.372
Ta 0.940 0.853 0.872
Te 0.170 0.467 0.154
Te 0.467 0.170 0.654
Te 0.533 0.830 0.346
Te 0.830 0.533 0.846
Se 0.022 0.238 0.560
Se 0.238 0.022 0.060
Se 0.405 0.595 0.750
Se 0.595 0.405 0.250
Se 0.762 0.978 0.940
Se 0.978 0.762 0.440

## Properties
Space-group type: C2/c
Energy relative to the elements, uncorrected: -0.293 eV/atom
Electronic total energy: -7.42 eV/atom
N(E_F): 4.47 states/eV/f.u.

=====

# TaTe2Se2

TaTe2Se2 after structural relaxation (GGA-PBE, Alexandria via LeMat-Bulk).

abc: 6.891 6.891 8.118
angles: 100.34 100.34 124.28
Fractional positions:
Ta 0.143 0.857 0.000
Ta 0.857 0.143 0.000
Te 0.203 0.203 0.311
Te 0.257 0.257 0.856
Te 0.743 0.743 0.144
Te 0.797 0.797 0.689
Se 0.211 0.642 0.206
Se 0.358 0.789 0.794
Se 0.642 0.211 0.206
Se 0.789 0.358 0.794

## Properties
Space-group type: C2/m
Energy relative to the elements, uncorrected: -0.245 eV/atom
Electronic total energy: -5.27 eV/atom
Offset from the most stable computed form: 0.00 kcal/mol of atoms
N(E_F): 2.19 states/eV/f.u.

=====

# TaTeSe4

TaTeSe4 after structural relaxation (GGA-PBE, Alexandria via LeMat-Bulk).

abc: 5.642 5.642 5.642
angles: 60.00 60.00 60.00
Fractional positions:
Ta 0.000 0.000 0.000
Te 0.250 0.250 0.250
Se 0.119 0.627 0.627
Se 0.627 0.119 0.627
Se 0.627 0.627 0.119
Se 0.627 0.627 0.627

## Properties
Space-group type: F-43m
Energy relative to the elements, uncorrected: 0.897 eV/atom
Electronic total energy: -3.92 eV/atom
N(E_F): 4.46 states/eV/f.u.

=====

# TaTe2Se2

TaTe2Se2 after structural relaxation (GGA-PBE, Alexandria via LeMat-Bulk).

abc: 3.829 3.829 21.023
angles: 90.00 90.00 90.00
Fractional positions:
Ta 0.000 0.000 0.000
Ta 0.500 0.500 0.500
Te 0.000 0.500 0.250
Te 0.000 0.500 0.750
Te 0.500 0.000 0.250
Te 0.500 0.000 0.750
Se 0.000 0.000 0.431
Se 0.000 0.000 0.569
Se 0.500 0.500 0.069
Se 0.500 0.500 0.931

## Properties
Space-group type: I4/mmm
Energy relative to the elements, uncorrected: 0.571 eV/atom
Electronic total energy: -4.45 eV/atom
Offset from the most stable computed form: 18.81 kcal/mol of atoms
N(E_F): 3.32 states/eV/f.u.

=====

# Ta2TiTe2Se4

Ta2TiTe2Se4 after structural relaxation (GGA-PBE, Alexandria via LeMat-Bulk).

abc: 3.526 3.526 22.134
angles: 90.00 90.00 120.00
Fractional positions:
Ta 0.000 0.000 0.000
Ta 0.333 0.667 0.316
Ti 0.333 0.667 0.672
Te 0.000 0.000 0.587
Te 0.000 0.000 0.756
Se 0.000 0.000 0.241
Se 0.000 0.000 0.391
Se 0.333 0.667 0.075
Se 0.333 0.667 0.925

## Properties
Space-group type: P3m1
Energy relative to the elements, uncorrected: -0.718 eV/atom
Electronic total energy: -6.48 eV/atom
N(E_F): 9.24 states/eV/f.u.

=====

# Ta2Te2WSe4

Ta2Te2WSe4 after structural relaxation (GGA-PBE, Alexandria via LeMat-Bulk).

abc: 3.498 3.498 21.946
angles: 90.00 90.00 120.00
Fractional positions:
Ta 0.000 0.000 0.000
Ta 0.333 0.667 0.318
Te 0.000 0.000 0.590
Te 0.000 0.000 0.758
W 0.333 0.667 0.674
Se 0.000 0.000 0.242
Se 0.000 0.000 0.394
Se 0.333 0.667 0.076
Se 0.333 0.667 0.924

## Properties
Space-group type: P3m1
Energy relative to the elements, uncorrected: -0.572 eV/atom
Electronic total energy: -6.89 eV/atom
N(E_F): 7.38 states/eV/f.u.

=====

# YTaTe2Se

YTaTe2Se after structural relaxation (GGA-PBE, Alexandria via LeMat-Bulk).

abc: 5.564 5.564 4.711
angles: 90.00 90.00 90.00
Fractional positions:
Y 0.000 0.000 0.000
Ta 0.500 0.500 0.000
Te 0.000 0.500 0.500
Te 0.500 0.000 0.500
Se 0.500 0.500 0.500

## Properties
Space-group type: P4/mmm
Energy relative to the elements, uncorrected: 0.422 eV/atom
Electronic total energy: -5.19 eV/atom
N(E_F): 3.26 states/eV/f.u.

=====

# ZrTa2Te2Se4

ZrTa2Te2Se4 after structural relaxation (GGA-PBE, Alexandria via LeMat-Bulk).

abc: 3.538 3.538 22.316
angles: 90.00 90.00 120.00
Fractional positions:
Zr 0.000 0.000 0.000
Ta 0.000 0.000 0.643
Ta 0.667 0.333 0.331
Te 0.667 0.333 0.093
Te 0.667 0.333 0.907
Se 0.000 0.000 0.257
Se 0.000 0.000 0.405
Se 0.667 0.333 0.569
Se 0.667 0.333 0.718

## Properties
Space-group type: P3m1
Energy relative to the elements, uncorrected: -0.739 eV/atom
Electronic total energy: -6.57 eV/atom
N(E_F): 9.49 states/eV/f.u.

=====

# ThTaSe2

ThTaSe2 after structural relaxation (GGA-PBE, Alexandria via LeMat-Bulk).

abc: 3.427 3.427 28.641
angles: 90.00 90.00 120.00
Fractional positions:
Th 0.000 0.000 0.000
Th 0.333 0.667 0.667
Th 0.667 0.333 0.333
Ta 0.000 0.000 0.500
Ta 0.333 0.667 0.167
Ta 0.667 0.333 0.833
Se 0.000 0.000 0.106
Se 0.000 0.000 0.894
Se 0.333 0.667 0.560
Se 0.333 0.667 0.773
Se 0.667 0.333 0.227
Se 0.667 0.333 0.440

## Properties
Space-group type: R-3m
Energy relative to the elements, uncorrected: -0.524 eV/atom
Electronic total energy: -7.08 eV/atom
N(E_F): 4.67 states/eV/f.u.

=====

# ThTa2Se6

ThTa2Se6 after structural relaxation (GGA-PBE, Alexandria via LeMat-Bulk).

abc: 7.811 7.811 7.325
angles: 106.45 106.45 37.83
Fractional positions:
Th 0.000 0.000 0.000
Ta 0.260 0.260 0.639
Ta 0.740 0.740 0.361
Se 0.124 0.124 0.757
Se 0.211 0.211 0.276
Se 0.440 0.440 0.766
Se 0.560 0.560 0.234
Se 0.789 0.789 0.724
Se 0.876 0.876 0.243

## Properties
Space-group type: C2/m
Energy relative to the elements, uncorrected: -0.835 eV/atom
Electronic total energy: -6.62 eV/atom
N(E_F): 2.17 states/eV/f.u.

=====

# ThTaSe

ThTaSe after structural relaxation (GGA-PBE, Alexandria via LeMat-Bulk).

abc: 3.994 4.010 9.112
angles: 89.99 89.96 90.00
Fractional positions:
Th 0.248 0.249 0.294
Th 0.752 0.751 0.706
Ta 0.254 0.251 0.940
Ta 0.746 0.749 0.060
Se 0.252 0.251 0.640
Se 0.748 0.749 0.360

## Properties
Space-group type: P-1
Energy relative to the elements, uncorrected: -0.644 eV/atom
Electronic total energy: -8.23 eV/atom
N(E_F): 2.54 states/eV/f.u.

=====

# TaTiSe3

TaTiSe3 after structural relaxation (GGA-PBE, Alexandria via LeMat-Bulk).

abc: 5.000 5.000 5.000
angles: 90.00 90.00 90.00
Fractional positions:
Ta 0.000 0.000 0.000
Ti 0.500 0.500 0.500
Se 0.000 0.000 0.500
Se 0.000 0.500 0.000
Se 0.500 0.000 0.000

## Properties
Space-group type: Pm-3m
Energy relative to the elements, uncorrected: 0.174 eV/atom
Electronic total energy: -5.87 eV/atom
Offset from the most stable computed form: 19.97 kcal/mol of atoms
N(E_F): 9.69 states/eV/f.u.

=====

# Ta2Ti2Se7

Ta2Ti2Se7 after structural relaxation (GGA-PBE, Alexandria via LeMat-Bulk).

abc: 6.738 6.738 6.853
angles: 91.60 91.60 111.45
Fractional positions:
Ta 0.203 0.203 0.122
Ta 0.797 0.797 0.878
Ti 0.148 0.852 0.500
Ti 0.852 0.148 0.500
Se 0.071 0.456 0.294
Se 0.122 0.122 0.750
Se 0.456 0.071 0.294
Se 0.500 0.500 0.000
Se 0.544 0.929 0.706
Se 0.878 0.878 0.250
Se 0.929 0.544 0.706

## Properties
Space-group type: C2/m
Energy relative to the elements, uncorrected: -0.658 eV/atom
Electronic total energy: -6.47 eV/atom
N(E_F): 8.06 states/eV/f.u.

=====

# TaTi3Se

TaTi3Se after structural relaxation (GGA-PBE, Alexandria via LeMat-Bulk).

abc: 4.852 4.852 4.852
angles: 90.00 90.00 90.00
Fractional positions:
Ta 0.000 0.000 0.000
Ti 0.000 0.000 0.500
Ti 0.000 0.500 0.000
Ti 0.500 0.000 0.000
Se 0.500 0.500 0.500

## Properties
Space-group type: Pm-3m
Energy relative to the elements, uncorrected: 0.971 eV/atom
Electronic total energy: -6.83 eV/atom
Offset from the most stable computed form: 28.72 kcal/mol of atoms
N(E_F): 4.97 states/eV/f.u.

=====

# TaTiSe4

TaTiSe4 after structural relaxation (GGA-PBE, Alexandria via LeMat-Bulk).

abc: 6.093 3.518 6.670
angles: 90.00 90.20 90.00
Fractional positions:
Ta 0.000 0.000 0.000
Ti 0.500 0.500 0.000
Se 0.170 0.500 0.243
Se 0.336 0.000 0.761
Se 0.664 0.000 0.239
Se 0.830 0.500 0.757

## Properties
Space-group type: P2/m
Energy relative to the elements, uncorrected: -0.968 eV/atom
Electronic total energy: -6.58 eV/atom
N(E_F): 3.72 states/eV/f.u.

=====

# TaTi3Se

TaTi3Se after structural relaxation (GGA-PBE, Alexandria via LeMat-Bulk).

abc: 5.625 5.625 8.002
angles: 109.10 109.10 51.13
Fractional positions:
Ta 0.122 0.122 0.454
Ta 0.878 0.878 0.546
Ti 0.085 0.085 0.874
Ti 0.365 0.365 0.368
Ti 0.374 0.374 0.740
Ti 0.626 0.626 0.260
Ti 0.635 0.635 0.632
Ti 0.915 0.915 0.126
Se 0.358 0.358 0.052
Se 0.642 0.642 0.948

## Properties
Space-group type: C2/m
Energy relative to the elements, uncorrected: -0.275 eV/atom
Electronic total energy: -8.08 eV/atom
Offset from the most stable computed form: 0.00 kcal/mol of atoms
N(E_F): 5.42 states/eV/f.u.

=====

# TaTi2Se2

TaTi2Se2 after structural relaxation (GGA-PBE, Alexandria via LeMat-Bulk).

abc: 7.048 7.048 3.344
angles: 90.00 90.00 90.00
Fractional positions:
Ta 0.000 0.000 0.000
Ta 0.500 0.500 0.000
Ti 0.151 0.349 0.500
Ti 0.349 0.849 0.500
Ti 0.651 0.151 0.500
Ti 0.849 0.651 0.500
Se 0.152 0.652 0.000
Se 0.348 0.152 0.000
Se 0.652 0.848 0.000
Se 0.848 0.348 0.000

## Properties
Space-group type: P4/mbm
Energy relative to the elements, uncorrected: -0.561 eV/atom
Electronic total energy: -7.48 eV/atom
N(E_F): 5.54 states/eV/f.u.

=====

# TaTiSe3

TaTiSe3 after structural relaxation (GGA-PBE, Alexandria via LeMat-Bulk).

abc: 7.515 7.515 7.515
angles: 47.80 47.80 47.80
Fractional positions:
Ta 0.168 0.168 0.168
Ta 0.832 0.832 0.832
Ti 0.330 0.330 0.330
Ti 0.670 0.670 0.670
Se 0.081 0.421 0.748
Se 0.252 0.579 0.919
Se 0.421 0.748 0.081
Se 0.579 0.919 0.252
Se 0.748 0.081 0.421
Se 0.919 0.252 0.579

## Properties
Space-group type: R32
Energy relative to the elements, uncorrected: -0.692 eV/atom
Electronic total energy: -6.73 eV/atom
Offset from the most stable computed form: 0.00 kcal/mol of atoms
N(E_F): 4.80 states/eV/f.u.

=====

# Ta4TiSe8

Ta4TiSe8 after structural relaxation (GGA-PBE, Alexandria via LeMat-Bulk).

abc: 7.504 7.504 7.504
angles: 56.12 56.12 56.12
Fractional positions:
Ta 0.000 0.000 0.000
Ta 0.000 0.500 0.500
Ta 0.500 0.000 0.500
Ta 0.500 0.500 0.000
Ti 0.500 0.500 0.500
Se 0.235 0.750 0.750
Se 0.247 0.247 0.247
Se 0.250 0.250 0.765
Se 0.250 0.765 0.250
Se 0.750 0.235 0.750
Se 0.750 0.750 0.235
Se 0.753 0.753 0.753
Se 0.765 0.250 0.250

## Properties
Space-group type: R-3m
Energy relative to the elements, uncorrected: -0.712 eV/atom
Electronic total energy: -7.11 eV/atom
N(E_F): 6.32 states/eV/f.u.

=====

# TaTiSe4

TaTiSe4 after structural relaxation (GGA-PBE, Alexandria via LeMat-Bulk).

abc: 6.092 3.518 7.153
angles: 90.00 106.32 90.00
Fractional positions:
Ta 0.000 0.000 0.000
Ti 0.500 0.500 0.000
Se 0.247 0.500 0.236
Se 0.260 0.000 0.768
Se 0.740 0.000 0.232
Se 0.753 0.500 0.764

## Properties
Space-group type: P2/m
Energy relative to the elements, uncorrected: -0.966 eV/atom
Electronic total energy: -6.58 eV/atom
N(E_F): 3.17 states/eV/f.u.

=====

# TaTi3Se6

TaTi3Se6 after structural relaxation (GGA-PBE, Alexandria via LeMat-Bulk).

abc: 7.597 7.597 7.597
angles: 92.39 92.39 92.39
Fractional positions:
Ta 0.000 0.000 0.000
Ta 0.500 0.500 0.500
Ti 0.149 0.671 0.524
Ti 0.329 0.476 0.851
Ti 0.476 0.851 0.329
Ti 0.524 0.149 0.671
Ti 0.671 0.524 0.149
Ti 0.851 0.329 0.476
Se 0.079 0.704 0.846
Se 0.154 0.921 0.296
Se 0.184 0.346 0.553
Se 0.296 0.154 0.921
Se 0.346 0.553 0.184
Se 0.447 0.816 0.654
Se 0.553 0.184 0.346
Se 0.654 0.447 0.816
Se 0.704 0.846 0.079
Se 0.816 0.654 0.447
Se 0.846 0.079 0.704
Se 0.921 0.296 0.154

## Properties
Space-group type: R-3
Energy relative to the elements, uncorrected: -0.842 eV/atom
Electronic total energy: -6.49 eV/atom
N(E_F): 7.19 states/eV/f.u.

=====

# TaTiSe3

TaTiSe3 after structural relaxation (GGA-PBE, Alexandria via LeMat-Bulk).

abc: 4.863 4.863 4.863
angles: 90.00 90.00 90.00
Fractional positions:
Ta 0.000 0.000 0.000
Ti 0.500 0.500 0.500
Se 0.000 0.500 0.500
Se 0.500 0.000 0.500
Se 0.500 0.500 0.000

## Properties
Space-group type: Pm-3m
Energy relative to the elements, uncorrected: 0.331 eV/atom
Electronic total energy: -5.71 eV/atom
Offset from the most stable computed form: 23.59 kcal/mol of atoms
N(E_F): 4.55 states/eV/f.u.

=====

# TaTiSe6

TaTiSe6 after structural relaxation (GGA-PBE, Alexandria via LeMat-Bulk).

abc: 6.245 6.437 6.483
angles: 70.07 61.31 61.04
Fractional positions:
Ta 0.000 0.000 0.000
Ti 0.500 0.500 0.500
Se 0.116 0.382 0.834
Se 0.171 0.883 0.334
Se 0.451 0.748 0.748
Se 0.549 0.252 0.252
Se 0.829 0.117 0.666
Se 0.884 0.618 0.166

## Properties
Space-group type: P-1
Energy relative to the elements, uncorrected: -0.522 eV/atom
Electronic total energy: -5.60 eV/atom
N(E_F): 3.37 states/eV/f.u.